# CaNd5Dy3

A relaxed CaNd5Dy3 crystal (GGA-PBE, the Alexandria database).

Output
Formation enthalpy at 0 K ... 7.3 kJ per mole of atoms
Mass density ... 6.713 g/cm3
Symmetry ... Cmcm, No. 63
E_tot ... -4.330 eV per atom
D(E_F) ... 1.4171 states/eV per atom
Calculated volume ... 618 Å³/cell

Cell: 10.002 10.002 7.127 Å, 90.00 90.00 60.05°
Fractional positions:
Ca 0.183 0.817 0.750
Ca 0.817 0.183 0.250
Nd 0.139 0.497 0.750
Nd 0.159 0.841 0.250
Nd 0.194 0.494 0.250
Nd 0.494 0.194 0.750
Nd 0.497 0.139 0.250
Nd 0.503 0.861 0.750
Nd 0.506 0.806 0.250
Nd 0.806 0.506 0.750
Nd 0.841 0.159 0.750
Nd 0.861 0.503 0.250
Dy 0.167 0.167 0.000
Dy 0.167 0.167 0.500
Dy 0.500 0.500 0.000
Dy 0.500 0.500 0.500
Dy 0.833 0.833 0.000
Dy 0.833 0.833 0.500